(1)
Computed, not measured: a crystal of AsAuSe2 relaxed with PBEsol at the meta-GGA SCAN level of DFT.

Results
Calculated volume ... 87 Å³ per cell
VASP energy ... -32.176 eV per atom
Energy relative to the elements, uncorrected ... 0.201 eV per atom

```
AsAuSe2
1.0
-2.315 1.549 -2.731
-3.012 0.339 2.745
4.424 4.014 1.312
Au Se As
1 2 1
Direct
0.000 0.500 0.000
0.332 0.332 0.664
0.668 0.668 0.336
0.500 0.000 0.000
```


(2)
Computed, not measured: a crystal of ZrNiAu relaxed with PBEsol at the meta-GGA SCAN level of DFT.

Results
Calculated volume ... 48 Å³ per cell
VASP energy ... -39.319 eV per atom
Formation energy from the elements ... -0.64 eV/atom

```
ZrNiAu
1.0
-0.668 0.195 -3.308
-1.946 -2.754 0.228
-2.057 3.727 2.366
Au Ni Zr
1 1 1
Direct
0.997 0.997 0.995
0.328 0.328 0.656
0.675 0.675 0.349
```


(3)
Computed, not measured: a crystal of TlCuPb2 relaxed with PBEsol at the meta-GGA SCAN level of DFT.

Results
Calculated volume ... 100 Å³ per cell
VASP energy ... -59.440 eV per atom
Formation energy from the elements ... 0.34 eV/atom

```
TlCuPb2
1.0
5.211 0.000 0.000
2.606 4.513 0.000
2.606 1.504 4.255
Cu Tl Pb
1 1 2
Direct
0.500 0.500 0.500
0.750 0.750 0.750
0.000 0.000 0.000
0.250 0.250 0.250
```


(4)
Computed, not measured: a crystal of Rb2ScAgBr6 relaxed with PBEsol at the meta-GGA SCAN level of DFT.

Results
Calculated volume ... 313 Å³ per cell
VASP energy ... -22.032 eV per atom
Energy relative to the elements, uncorrected ... -1.648 eV per atom

```
Rb2ScAgBr6
1.0
7.620 0.000 0.000
3.810 6.599 0.000
3.810 2.200 6.221
Br Rb Ag Sc
6 2 1 1
Direct
0.244 0.756 0.244
0.756 0.244 0.244
0.756 0.244 0.756
0.756 0.756 0.244
0.244 0.244 0.756
0.244 0.756 0.756
0.750 0.750 0.750
0.250 0.250 0.250
0.500 0.500 0.500
0.000 0.000 0.000
```


> The lowest VASP energy belongs to which entry?

TlCuPb2


Please write out number 2 again, unchanged.
Computed, not measured: a crystal of ZrNiAu relaxed with PBEsol at the meta-GGA SCAN level of DFT.

Results
Calculated volume ... 48 Å³ per cell
VASP energy ... -39.319 eV per atom
Formation energy from the elements ... -0.64 eV/atom

```
ZrNiAu
1.0
-0.668 0.195 -3.308
-1.946 -2.754 0.228
-2.057 3.727 2.366
Au Ni Zr
1 1 1
Direct
0.997 0.997 0.995
0.328 0.328 0.656
0.675 0.675 0.349
```


What did the first record say?
Computed, not measured: a crystal of AsAuSe2 relaxed with PBEsol at the meta-GGA SCAN level of DFT.

Results
Calculated volume ... 87 Å³ per cell
VASP energy ... -32.176 eV per atom
Energy relative to the elements, uncorrected ... 0.201 eV per atom

```
AsAuSe2
1.0
-2.315 1.549 -2.731
-3.012 0.339 2.745
4.424 4.014 1.312
Au Se As
1 2 1
Direct
0.000 0.500 0.000
0.332 0.332 0.664
0.668 0.668 0.336
0.500 0.000 0.000
```


> Which value of calculated volume does entry 3 give?

100 Å³ per cell